# 1
# CdIn3HgBi, relaxed, DFT PBE-GGA
data_CdIn3HgBi
_cell_length_a 8.717
_cell_length_b 4.507
_cell_length_c 9.677
_cell_angle_alpha 90.00
_cell_angle_beta 116.37
_cell_angle_gamma 90.00
_space_group_name_H-M_alt 'P 1 21/m 1'
_space_group_IT_number 11
loop_
_space_group_symop_operation_xyz
'x,y,z'
'-x,-y,-z'
'-x,y+1/2,-z'
'x,-y+1/2,z'
loop_
_atom_site_label
_atom_site_type_symbol
_atom_site_fract_x
_atom_site_fract_y
_atom_site_fract_z
Cd1 Cd 0.055 0.250 0.432
In1 In 0.238 0.250 0.176
In2 In 0.300 0.750 0.888
In3 In 0.336 0.750 0.471
Hg1 Hg 0.027 0.250 0.829
Bi1 Bi 0.452 0.250 0.749
# ΔH_f (0 K)	0.2	eV/f.u.
# spin magnetization	0.000	Bohr magnetons per cell

***

# 2
# Cd2HgBiIr, relaxed, DFT PBE-GGA
data_Cd2HgBiIr
_cell_length_a 5.356
_cell_length_b 5.356
_cell_length_c 5.076
_cell_angle_alpha 90.00
_cell_angle_beta 90.00
_cell_angle_gamma 90.00
_space_group_name_H-M_alt 'P 4/m m m'
_space_group_IT_number 123
_space_group_name_Hall '-P 4 2'
loop_
_atom_site_label
_atom_site_type_symbol
_atom_site_fract_x
_atom_site_fract_y
_atom_site_fract_z
Cd1 Cd 0.000 0.500 0.000
Hg1 Hg 0.000 0.000 0.500
Bi1 Bi 0.500 0.500 0.500
Ir1 Ir 0.500 0.500 0.000
# ΔH_f (0 K)	0.7	eV/f.u.
# spin magnetization	0.000	Bohr magnetons per cell